Record 1
Sm2YPd9 (PBE-GGA, relaxed); space group = P4/mmm; total energy = -6.036 eV per atom
1.0
-1.632 -3.340 -1.872
3.108 -2.344 1.473
-6.703 -2.458 10.228
Sm Y Pd
2 1 9
Direct
0.000 0.000 0.332 Sm
0.000 0.000 0.668 Sm
0.000 0.000 0.000 Y
0.500 0.500 0.000 Pd
0.500 0.500 0.333 Pd
0.500 0.500 0.667 Pd
0.500 0.000 0.164 Pd
0.500 0.000 0.500 Pd
0.500 0.000 0.836 Pd
0.000 0.500 0.164 Pd
0.000 0.500 0.500 Pd
0.000 0.500 0.836 Pd


Record 2
Ca2ErMgSe4 (PBE-GGA, relaxed); raw formation energy = -1.712 eV/atom; space group = P2/m; total energy = -4.724 eV per atom
1.0
-3.113 2.106 1.551
-3.695 -1.049 -5.992
-1.311 -5.284 4.548
Ca Er Mg Se
2 1 1 4
Direct
0.500 0.000 0.500 Ca
0.000 0.500 0.500 Ca
0.500 0.500 0.000 Er
0.000 0.000 0.000 Mg
0.500 0.238 0.231 Se
0.500 0.762 0.769 Se
0.000 0.249 0.762 Se
0.000 0.751 0.238 Se


Record 3
Dy4CoRh3 (PBE-GGA, relaxed); space group = Pmmm; total energy = -6.634 eV per atom
1.0
3.389 0.000 0.000
0.000 4.833 0.000
0.000 0.000 9.655
Rh Co Dy
3 1 4
Direct
0.500 0.000 0.250 Rh
0.500 0.500 0.500 Rh
0.500 0.000 0.750 Rh
0.500 0.500 0.000 Co
0.000 0.000 0.500 Dy
0.000 0.500 0.755 Dy
0.000 0.000 0.000 Dy
0.000 0.500 0.245 Dy